Entry 1:
LiFeOF2 meta-GGA SCAN PBEsol geometry; ΔE_f (raw) = -2.246 eV/atom; density = 3.89 g/cm³; E_tot = -9.01 eV/atom; density of states at the Fermi level = 3.1 states/eV/f.u.
1.0
-3.0406 0.6459 0.5918
0.7617 -2.2666 -2.0724
0.0037 -7.7537 8.4817
O Li F Fe
2 2 4 2
Direct
0.0000 0.0000 0.7500
0.0000 0.0000 0.2500
0.0000 0.0000 0.5000
0.0000 0.0000 0.0000
0.6667 0.3333 0.5860
0.3333 0.6667 0.4140
0.6667 0.3333 0.9140
0.3333 0.6667 0.0860
0.3333 0.6667 0.2500
0.6667 0.3333 0.7500

Entry 2:
Li4FeO3F meta-GGA SCAN PBEsol geometry; ΔE_f (raw) = -2.163 eV/atom; density = 2.81 g/cm³; E_tot = -7.71 eV/atom; density of states at the Fermi level = 0.0 states/eV/f.u.
1.0
5.3333 0.0012 0.0000
-0.5181 5.3081 0.0000
0.0000 0.0000 6.2905
O F Fe Li
6 2 2 8
Direct
0.2009 0.2009 0.5108
0.2602 0.6751 0.2497
0.7991 0.7991 0.0108
0.3249 0.7398 0.7497
0.6751 0.2602 0.2497
0.7398 0.3249 0.7497
0.2044 0.2044 0.9902
0.7956 0.7956 0.4902
0.3545 0.3545 0.2771
0.6455 0.6455 0.7771
0.1586 0.8324 0.9979
0.8324 0.1586 0.9979
0.8414 0.1676 0.4979
0.1676 0.8414 0.4979
0.5778 0.8841 0.2384
0.4222 0.1159 0.7384
0.1159 0.4222 0.7384
0.8841 0.5778 0.2384

Entry 3:
Li2FeOF3 meta-GGA SCAN PBEsol geometry; ΔE_f (raw) = -2.593 eV/atom; excess energy over the best structure of this formula in the dataset = 53 meV per atom; density = 3.33 g/cm³; E_tot = -8.27 eV/atom
1.0
5.8182 0.0012 -0.0009
2.8229 5.1048 -0.0125
-2.8229 -1.7466 4.7968
Li Fe O F
4 2 2 6
Direct
0.5000 0.0000 0.0000
0.9000 0.3787 0.6213
0.0000 0.0000 0.0000
0.1000 0.6213 0.3787
0.5000 0.5000 0.0000
0.5000 0.0000 0.5000
0.6954 0.7532 0.2468
0.3046 0.2468 0.7532
0.7603 0.2446 0.7554
0.2397 0.7554 0.2446
0.2564 0.7538 0.7740
0.2564 0.2260 0.2462
0.7436 0.7740 0.7538
0.7436 0.2462 0.2260

Entry 4:
LiFe5O5F meta-GGA SCAN PBEsol geometry; ΔE_f (raw) = -1.484 eV/atom; density = 5.06 g/cm³; E_tot = -12.13 eV/atom; density of states at the Fermi level = 3.7 states/eV/f.u.
1.0
-1.6148 -2.2684 1.7318
2.2685 -1.2243 -2.0267
8.8155 0.8606 9.3475
O Li F Fe
5 1 1 5
Direct
0.3202 0.6798 0.5000
0.2965 0.7035 0.1592
0.7070 0.2930 0.6506
0.2965 0.7035 0.8408
0.7070 0.2930 0.3494
0.3045 0.6955 0.0000
0.6564 0.3436 0.0000
0.6619 0.3381 0.8201
0.6619 0.3381 0.1799
0.3480 0.6520 0.3188
0.6938 0.3062 0.5000
0.3480 0.6520 0.6812

Question: The lowest ΔE_f (raw) belongs to which entry?
Answer: Li2FeOF3